VASP calculation (PBE-GGA) on a relaxed MnTlIn crystal.

It has space group I4mm (No. 107), with a = 3.318 Å, b = 3.318 Å, c = 12.296 Å, α = 90.00°, β = 90.00° and γ = 90.00°. The inequivalent atoms are Mn at (0.000, 0.000, 0.000), Tl at (0.000, 0.000, 0.344) and In at (0.000, 0.000, 0.636).

The calculation puts the density at 9.18 Mg/m³. Its energy relative to the lowest polymorph listed for this composition is 0.007 eV per atom. For the energy of formation, the calculation gives 0.339 eV per atom.

***

VASP calculation (PBE-GGA) on a relaxed MnTl2In crystal.

It has space group P4mm (No. 99), with a = 3.288 Å, b = 3.288 Å, c = 9.167 Å, α = 90.00°, β = 90.00° and γ = 90.00°. The inequivalent atoms are Mn at (0.000, 0.000, 0.000), Tl at (0.000, 0.000, 0.520), Tl at (0.500, 0.500, 0.212) and In at (0.500, 0.500, 0.812).

The calculation puts the density at 9.69 Mg/m³. Its energy relative to the lowest polymorph listed for this composition is 0.000 eV per atom. For the energy of formation, the calculation gives 0.234 eV per atom.

***

VASP calculation (PBE-GGA) on a relaxed MnTlIn2 crystal.

It has space group Cm (No. 8), with a = 14.586 Å, b = 3.069 Å, c = 4.659 Å, α = 90.00°, β = 108.48° and γ = 90.00°. The inequivalent atoms are Mn at (0.000, 0.000, 0.000), Tl at (0.311, 0.000, 0.810), In at (0.176, 0.500, 0.176) and In at (0.498, 0.000, 0.498).

The calculation puts the density at 8.21 Mg/m³. Its energy relative to the lowest polymorph listed for this composition is 0.044 eV per atom. For the energy of formation, the calculation gives 0.212 eV per atom.

***

VASP calculation (PBE-GGA) on a relaxed MnTl2In crystal.

It has space group I-4m2 (No. 119), with a = 4.495 Å, b = 4.495 Å, c = 9.770 Å, α = 90.00°, β = 90.00° and γ = 90.00°. The inequivalent atoms are Mn at (0.000, 0.000, 0.000), Tl at (0.000, 0.000, 0.500), Tl at (0.000, 0.500, 0.750) and In at (0.000, 0.500, 0.250).

The calculation puts the density at 9.73 Mg/m³. Its energy relative to the lowest polymorph listed for this composition is 0.128 eV per atom. For the energy of formation, the calculation gives 0.363 eV per atom.